(1)
A plane-wave DFT calculation with PBE was carried out for an optimized crystal structure of Zr2PtBr.

Cell: 6.020 6.020 6.020 Å, 141.93 141.93 54.94°
Element x y z (fractional)
Br (0.500, 0.500, 0.000)
Zr (0.000, 0.000, 0.000)
Zr (0.250, 0.750, 0.500)
Pt (0.750, 0.250, 0.500)

Summary:
The total DFT energy (no corrections) comes out at -6.4457 eV per atom. The symmetry is I-4m2, No. 119. Its formation energy from raw total energies is -0.243 eV/atom. The calculation puts the density of states at the Fermi level at 4.1 states/eV/cell.

=====

(2)
A plane-wave DFT calculation with PBE was carried out for an optimized crystal structure of Zr4PtBr.

Cell: 5.704 5.704 5.704 Å, 60.00 60.00 60.00°
Element x y z (fractional)
Zr (0.374, 0.879, 0.374)
Zr (0.879, 0.374, 0.374)
Zr (0.374, 0.374, 0.879)
Zr (0.374, 0.374, 0.374)
Pt (0.000, 0.000, 0.000)
Br (0.750, 0.750, 0.750)

Summary:
The total DFT energy (no corrections) comes out at -6.6329 eV per atom. The symmetry is F-43m, No. 216. Its formation energy from raw total energies is 0.351 eV/atom. The calculation puts the density of states at the Fermi level at 7.3 states/eV/cell.

=====

(3)
A plane-wave DFT calculation with PBE was carried out for an optimized crystal structure of ZrPtBr3.

Cell: 5.163 5.163 5.163 Å, 90.00 90.00 90.00°
Last column: magnetic moment on the atom in μB.
Element x y z (fractional)
Br (0.000, 0.500, 0.000)  -0.01
Br (0.000, 0.000, 0.500)  -0.01
Br (0.500, 0.000, 0.000)  -0.02
Zr (0.500, 0.500, 0.500)  1.62
Pt (0.000, 0.000, 0.000)  -0.01

Summary:
The total DFT energy (no corrections) comes out at -3.5901 eV per atom. The symmetry is Pm-3m, No. 221. Its formation energy from raw total energies is 0.331 eV/atom. The calculation puts the density of states at the Fermi level at 4.1 states/eV/cell.

=====

(4)
A plane-wave DFT calculation with PBE was carried out for an optimized crystal structure of Zr2PtBr.

Cell: 4.053 4.053 7.097 Å, 78.57 78.57 62.00°
Element x y z (fractional)
Br (0.750, 0.750, 0.750)
Zr (0.943, 0.943, 0.072)
Zr (0.557, 0.557, 0.428)
Pt (0.250, 0.250, 0.250)

Summary:
The total DFT energy (no corrections) comes out at -6.9267 eV per atom. The symmetry is C2/m, No. 12. Its formation energy from raw total energies is -0.724 eV/atom. The calculation puts the density of states at the Fermi level at 3.0 states/eV/cell.

=====

(5)
A plane-wave DFT calculation with PBE was carried out for an optimized crystal structure of Zr2PtBr.

Cell: 4.887 4.887 4.887 Å, 60.00 60.00 60.00°
Last column: magnetic moment on the atom in μB.
Element x y z (fractional)
Br (0.500, 0.500, 0.500)  -0.02
Zr (0.000, 0.000, 0.000)  0.43
Zr (0.750, 0.750, 0.750)  0.62
Pt (0.250, 0.250, 0.250)  0.01

Summary:
The total DFT energy (no corrections) comes out at -5.9652 eV per atom. The symmetry is F-43m, No. 216. Its formation energy from raw total energies is 0.237 eV/atom. The calculation puts the density of states at the Fermi level at 3.9 states/eV/cell.

=====

(6)
A plane-wave DFT calculation with PBE was carried out for an optimized crystal structure of ZrPtBr2.

Cell: 3.345 3.345 9.391 Å, 90.00 90.00 121.56°
Element x y z (fractional)
Br (0.000, 0.000, 0.982)
Br (0.000, 0.000, 0.518)
Zr (0.500, 0.500, 0.750)
Pt (0.500, 0.500, 0.250)

Summary:
The total DFT energy (no corrections) comes out at -4.4071 eV per atom. The symmetry is Cmmm, No. 65. Its formation energy from raw total energies is 0.077 eV/atom. The calculation puts the density of states at the Fermi level at 3.9 states/eV/cell.